[1]
VASP calculation (PBE-GGA) on an optimized crystal structure of Li5Re3.

Output
For the density of states at the Fermi level, the calculation gives 0.53 states/eV per atom. The crystal system is orthorhombic. The mass density comes out at 8.82 Mg/m³. The calculation puts the energy of formation at 0.3080 eV/atom.

a = 5.472 Å, b = 5.472 Å, c = 4.326 Å
α = 90.00°, β = 90.00°, γ = 120.41°
Positions (direct):
Li  0.000  0.000  0.000
Li  0.000  0.500  0.000
Li  0.257  0.743  0.500
Li  0.500  0.000  0.000
Li  0.743  0.257  0.500
Re  0.236  0.236  0.500
Re  0.500  0.500  0.000
Re  0.764  0.764  0.500

---

[2]
VASP calculation (PBE-GGA) on an optimized crystal structure of Li3Re.

Output
For the density of states at the Fermi level, the calculation gives 0.54 states/eV per atom. The crystal system is orthorhombic. The energy above the most stable polymorph in this dataset is 21 meV/atom. The mass density comes out at 5.50 Mg/m³. The calculation puts the energy of formation at 0.1820 eV/atom.

a = 2.601 Å, b = 2.601 Å, c = 9.710 Å
α = 90.00°, β = 90.00°, γ = 108.10°
Positions (direct):
Li  0.000  0.000  0.000
Li  0.500  0.500  0.268
Li  0.500  0.500  0.732
Re  0.000  0.000  0.500

---

[3]
VASP calculation (PBE-GGA) on an optimized crystal structure of Li3Re.

Output
For the density of states at the Fermi level, the calculation gives 0.16 states/eV per atom. The crystal system is hexagonal. The energy above the most stable polymorph in this dataset is 0 meV/atom. The mass density comes out at 5.51 Mg/m³. The calculation puts the energy of formation at 0.1607 eV/atom.

a = 2.699 Å, b = 2.699 Å, c = 9.889 Å
α = 90.00°, β = 90.00°, γ = 120.00°
Positions (direct):
Li  0.000  0.000  0.000
Li  0.333  0.667  0.266
Li  0.333  0.667  0.734
Re  0.000  0.000  0.500